## CaLa5Pb3 (PBE-GGA)

Data for an optimized crystal structure of CaLa5Pb3.

```
CaLa5Pb3
1.0
6.9745 0.0000 0.0000
0.0000 9.9321 0.0000
0.0000 -4.9661 8.6013
La Pb Ca
10 6 2
Cartesian
5.2309 3.3007 0.0000
0.0000 0.0000 5.7339
1.7436 6.6164 5.7428
5.2309 3.3157 5.7428
3.4873 0.0000 5.7339
0.0000 4.9661 2.8674
5.2309 -1.6503 2.8585
1.7436 6.6314 0.0000
3.4873 4.9661 2.8674
1.7436 1.6503 2.8585
5.2309 1.6614 2.8780
1.7436 3.3230 0.0000
1.7436 -1.6614 2.8780
1.7436 3.3047 5.7233
5.2309 6.6091 0.0000
5.2309 6.6274 5.7233
0.0000 0.0000 0.0000
3.4873 0.0000 0.0000
```

symmetry: P6_3/mcm, No. 193
E: -4.6897 eV per atom
total moment: 2.79 μB per formula unit
mass density: 7.6 g cm⁻³
energy relative to the elements: -0.494 eV/atom
crystal system: hexagonal